Record 1
Below is a geometry-optimized Hf2TaCl structure, with properties calculated at the PBE level.

```
data_Hf2TaCl
_cell_length_a 6.8485
_cell_length_b 6.8485
_cell_length_c 6.8485
_cell_angle_alpha 90.00
_cell_angle_beta 90.00
_cell_angle_gamma 90.00
_space_group_name_H-M_alt 'F m -3 m'
_space_group_IT_number 225
_space_group_name_Hall '-F 4 2 3'
loop_
_atom_site_label
_atom_site_fract_x
_atom_site_fract_y
_atom_site_fract_z
Hf1 0.2500 0.2500 0.2500
Ta1 0.0000 0.0000 0.0000
Cl1 0.0000 0.0000 0.5000
```



Record 2
Below is a geometry-optimized Hf2TaCl structure, with properties calculated at the PBE level.

```
data_Hf2TaCl
_cell_length_a 4.1527
_cell_length_b 4.1527
_cell_length_c 19.5328
_cell_angle_alpha 90.00
_cell_angle_beta 90.00
_cell_angle_gamma 90.00
_space_group_name_H-M_alt 'I -4 2 d'
_space_group_IT_number 122
_space_group_name_Hall 'I -4 2bw'
loop_
_atom_site_label
_atom_site_fract_x
_atom_site_fract_y
_atom_site_fract_z
Hf1 0.2486 0.2500 0.1250
Ta1 0.0000 0.0000 0.0000
Cl1 0.0000 0.0000 0.5000
```



ΔE_f (raw) across the listed records, respectively: 0.4616, 0.7585 eV/atom.